Here is crystalline K3TmTh2Te6 at its relaxed geometry from Alexandria. Energies are from PBE-GGA.

Output
E   -112.36 eV for the cell shown
Mass density   5.8 g cm⁻³
Spin magnetization   0.000 Bohr magnetons per cell
Density of states at the Fermi level   14.0 states/eV per cell

```
data_K3TmTh2Te6
_chemical_formula_sum 'K6 Tm2 Th4 Te12'
_space_group_name_H-M_alt 'C 1 2/m 1'
_space_group_IT_number 12
_space_group_name_Hall '-C 2y'
_cell_length_a 7.740
_cell_length_b 13.397
_cell_length_c 8.786
_cell_angle_alpha 90.00
_cell_angle_beta 107.09
_cell_angle_gamma 90.00
loop_
_atom_site_label
_atom_site_fract_x
_atom_site_fract_y
_atom_site_fract_z
K1 0.000 0.000 0.000
K2 0.000 0.330 0.000
Tm1 0.000 0.500 0.500
Th1 0.000 0.166 0.500
Te1 0.234 0.338 0.715
Te2 0.248 0.000 0.717
```